Density functional theory data (GGA+U) for an optimized crystal structure of Rb2TeMoO6.

a b c (Å): 5.909 5.909 5.909
angles (deg): 60.00 60.00 90.00
Element x y z (fractional)
1 Rb 0.250 0.750 0.500
2 Mo 0.000 0.000 0.000
3 O 0.235 0.765 0.000
4 O 0.765 0.765 0.471
5 Te 0.500 0.500 0.000
6 O 0.765 0.235 0.000
7 O 0.235 0.235 0.529
8 O 0.235 0.235 0.000
9 O 0.765 0.765 0.000
10 Rb 0.750 0.250 0.500

## Properties
Density: 5.58 Mg/m³
Space-group type: Fm-3m, No. 225
Crystal system: cubic
E_tot: -56.113 eV per cell